# TaAl2P | Alexandria | SCAN | single point on PBEsol structure
# ΔH_f (0 K)	-0.09	eV/atom
# final energy	-23.210	eV/atom
data_TaAl2P
_space_group_name_H-M_alt 'C m m m'
_space_group_IT_number 65
_space_group_name_Hall '-C 2 2'
_cell_length_a 5.128
_cell_length_b 8.208
_cell_length_c 2.933
_cell_angle_alpha 90.00
_cell_angle_beta 90.00
_cell_angle_gamma 90.00
loop_
_atom_site_label
_atom_site_type_symbol
_atom_site_fract_x
_atom_site_fract_y
_atom_site_fract_z
Ta1 Ta 0.000 0.000 0.000
Al1 Al 0.250 0.250 0.500
P1 P 0.000 0.500 0.000